First-principles (PBE) data for SmZrBi2 after structural relaxation, as listed in Alexandria.

Results
Its polymorph energy (0 for the lowest one) is 0.130 eV/atom. As for the space group: P4/mmm (123). Its theoretical density is 10.005 g/cm3. The calculation puts the density of states at the Fermi level at 1.23 states/eV/atom. Its formation enthalpy at 0 K is -421 meV/atom.

POSCAR file:
```
SmZrBi2
1.0
-3.086 -1.843 0.882
1.937 -3.148 0.199
1.404 1.355 7.747
Bi Zr Sm
2 1 1
Cartesian
1.086 1.047 5.990
0.319 0.307 1.757
-0.575 -2.496 0.541
0.128 -1.818 4.414
```